# VSi2MoCl

An optimized crystal structure of VSi2MoCl (PBE, Alexandria).

Unit cell a=4.7619 b=4.7619 c=4.8093 alpha=90.00 beta=90.00 gamma=90.00
Positions (direct):
V 0.0000 0.0000 0.0000
Si 0.0000 0.5000 0.5000
Si 0.5000 0.0000 0.5000
Mo 0.0000 0.0000 0.5000
Cl 0.5000 0.5000 0.0000

## Properties
spin magnetization = 1.642 μB/cell
calculated density = 3632 kg/m³
formation energy from raw total energies = 679 meV per atom
space group = P4/mmm, No. 123



# Y2SiMoCl

An optimized crystal structure of Y2SiMoCl (PBE, Alexandria).

Unit cell a=5.5058 b=5.5058 c=4.4120 alpha=90.00 beta=90.00 gamma=90.00
Positions (direct):
Y 0.0000 0.5000 0.0000
Y 0.5000 0.0000 0.0000
Si 0.0000 0.0000 0.5000
Mo 0.5000 0.5000 0.0000
Cl 0.5000 0.5000 0.5000

## Properties
spin magnetization = 0.000 μB/cell
calculated density = 4188 kg/m³
formation energy from raw total energies = 385 meV per atom
space group = P4/mmm, No. 123



# SnMoCl2

An optimized crystal structure of SnMoCl2 (PBE, Alexandria).

Unit cell a=11.9980 b=11.9980 c=11.9980 alpha=15.14 beta=15.14 gamma=15.14
Positions (direct):
Sn 0.0000 0.0000 0.0000
Mo 0.5000 0.5000 0.5000
Cl 0.1188 0.1188 0.1188
Cl 0.8812 0.8812 0.8812

## Properties
spin magnetization = 0.000 μB/cell
calculated density = 4623 kg/m³
formation energy from raw total energies = -211 meV per atom
space group = R-3m, No. 166



# SnMoCl6

An optimized crystal structure of SnMoCl6 (PBE, Alexandria).

Unit cell a=6.9713 b=6.9713 c=9.7997 alpha=94.27 beta=94.27 gamma=69.49
Positions (direct):
Sn 0.0350 0.9650 0.7500
Sn 0.9650 0.0350 0.2500
Mo 0.0000 0.5000 0.0000
Mo 0.5000 0.0000 0.5000
Cl 0.1393 0.2126 0.4864
Cl 0.1525 0.5569 0.2129
Cl 0.2126 0.1393 0.9864
Cl 0.2367 0.6061 0.8825
Cl 0.3939 0.7633 0.6175
Cl 0.4431 0.8475 0.2871
Cl 0.5569 0.1525 0.7129
Cl 0.6061 0.2367 0.3825
Cl 0.7633 0.3939 0.1175
Cl 0.7874 0.8607 0.0136
Cl 0.8475 0.4431 0.7871
Cl 0.8607 0.7874 0.5136

## Properties
spin magnetization = 4.000 μB/cell
calculated density = 3195 kg/m³
formation energy from raw total energies = -881 meV per atom
space group = C2/c, No. 15